The following is a PBE calculation of TbSm4Sc5 after structural relaxation, from Alexandria.

a b c (Å): 10.233 10.233 5.685
angles (deg): 90.00 90.00 90.00
Space group I4mm (No. 107)
One atom of each set of equivalent atoms:
Tb1 0.000 0.000 0.000 [2 per cell]
Sm1 0.000 0.321 0.264 [8 per cell]
Sc1 0.000 0.000 0.482 [2 per cell]
Sc2 0.190 0.190 0.727 [8 per cell]

## Properties
DOS(E_F) ... 27.9 states/eV/cell
Magnetic moment ... 0.00 μB per cell
Total energy ... -5.28 eV/atom
Formation enthalpy at 0 K ... 0.234 eV per atom
Distance to the lowest polymorph of the same formula ... 1.82 eV per formula unit



The following is a PBE calculation of SrSc2TaOs after structural relaxation, from Alexandria.

a b c (Å): 5.006 5.006 5.553
angles (deg): 90.00 90.00 90.00
Space group P4/mmm (No. 123)
One atom of each set of equivalent atoms:
Sr1 0.000 0.000 0.000 [1 per cell]
Sc1 0.000 0.500 0.500 [2 per cell]
Ta1 0.000 0.000 0.500 [1 per cell]
Os1 0.500 0.500 0.000 [1 per cell]

## Properties
DOS(E_F) ... 7.7 states/eV/cell
Magnetic moment ... 2.17 μB per cell
Total energy ... -5.77 eV/atom
Formation enthalpy at 0 K ... 1.718 eV per atom



The following is a PBE calculation of RbGeRhSe2 after structural relaxation, from Alexandria.

a b c (Å): 5.876 5.876 4.920
angles (deg): 90.00 90.00 90.00
Space group P4/mmm (No. 123)
One atom of each set of equivalent atoms:
Rb1 0.000 0.000 0.000 [1 per cell]
Ge1 0.500 0.500 0.500 [1 per cell]
Rh1 0.000 0.000 0.500 [1 per cell]
Se1 0.000 0.500 0.000 [2 per cell]

## Properties
DOS(E_F) ... 4.7 states/eV/cell
Magnetic moment ... 2.00 μB per cell
Raw formation energy ... 146.72 kJ per mole of atoms
Total energy ... -2.46 eV/atom



The following is a PBE calculation of Zr2CdRh after structural relaxation, from Alexandria.

a b c (Å): 4.120 4.120 9.228
angles (deg): 90.00 90.00 90.00
Space group I-4m2 (No. 119)
One atom of each set of equivalent atoms:
Zr1 0.000 0.000 0.000 [2 per cell]
Zr2 0.000 0.500 0.250 [2 per cell]
Cd1 0.000 0.500 0.750 [2 per cell]
Rh1 0.000 0.000 0.500 [2 per cell]

## Properties
DOS(E_F) ... 7.2 states/eV/cell
Magnetic moment ... 0.00 μB per cell
Total energy ... -6.60 eV/atom
Formation enthalpy at 0 K ... -0.256 eV per atom



The following is a PBE calculation of LaMnNi2 after structural relaxation, from Alexandria.

a b c (Å): 7.167 4.140 5.480
angles (deg): 90.00 116.01 90.00
Space group Cm (No. 8)
One atom of each set of equivalent atoms:
La1 0.000 0.000 0.000 [2 per cell]
Mn1 0.311 0.500 0.433 [2 per cell]
Ni1 0.190 0.000 0.569 [2 per cell]
Ni2 0.495 0.000 0.484 [2 per cell]

## Properties
DOS(E_F) ... 9.8 states/eV/cell
Magnetic moment ... 4.98 μB per cell
Total energy ... -6.51 eV/atom
Formation enthalpy at 0 K ... -0.092 eV per atom



The following is a PBE calculation of NiBi3P after structural relaxation, from Alexandria.

a b c (Å): 5.115 5.115 5.115
angles (deg): 90.00 90.00 90.00
Space group Pm-3m (No. 221)
One atom of each set of equivalent atoms:
Ni1 0.000 0.000 0.000 [1 per cell]
Bi1 0.000 0.000 0.500 [3 per cell]
P1 0.500 0.500 0.500 [1 per cell]

## Properties
DOS(E_F) ... 4.2 states/eV/cell
Magnetic moment ... 0.00 μB per cell
Total energy ... -4.01 eV/atom
Formation enthalpy at 0 K ... 0.558 eV per atom
Distance to the lowest polymorph of the same formula ... 0.00 eV per formula unit



The following is a PBE calculation of TlGeAu2 after structural relaxation, from Alexandria.

a b c (Å): 6.867 7.603 9.525
angles (deg): 90.00 133.57 90.00
Space group P2_1/c (No. 14)
One atom of each set of equivalent atoms:
Tl1 0.098 0.008 0.365 [4 per cell]
Ge1 0.297 0.636 0.626 [4 per cell]
Au1 0.223 0.200 0.148 [4 per cell]
Au2 0.450 0.687 0.439 [4 per cell]

## Properties
DOS(E_F) ... 5.3 states/eV/cell
Magnetic moment ... 0.00 μB per cell
Total energy ... -3.40 eV/atom
Formation enthalpy at 0 K ... -0.013 eV per atom
Distance to the lowest polymorph of the same formula ... 0.00 eV per formula unit